[1]
CaTlBF6 | GGA-PBE | optimized geometry

Unit cell a=5.4043 b=5.4043 c=5.7741 alpha=90.00 beta=90.00 gamma=120.00
Space group P312 (No. 149)
Asymmetric unit:
Ca1 0.0000 0.0000 0.0000
Tl1 0.6667 0.3333 0.5000
B1 0.3333 0.6667 0.0000
F1 0.0870 0.4155 0.1658

[2]
U2Ni9Sb | GGA-PBE | optimized geometry

Unit cell a=4.8536 b=4.8536 c=24.4328 alpha=90.00 beta=90.00 gamma=120.00
Space group R-3m (No. 166, hexagonal axes)
Asymmetric unit:
U1 0.0000 0.0000 0.1368
Ni1 0.0000 0.0000 0.3330
Ni2 0.0000 0.0000 0.5000
Ni3 0.0020 0.5010 0.9152
Sb1 0.0000 0.0000 0.0000

no.,calculated total energy (eV/cell),magnetic moment (μB per formula unit)
1,-46.1,0.000
2,-241.9,2.430